# 1
Entry from Alexandria: a relaxed structure of Dy2MgAl2Ir5 (PBE).

Computed properties:
For the spin magnetization, the calculation gives 0.00 μB per formula unit. Its formation energy is -0.703 eV/atom.

Lattice parameters (Å, degrees): 9.9237 9.9237 3.4764 90.00 90.00 90.00
Last column: nearest neighbours and their distance in Å.
Space group P4/mbm (No. 127)
Symmetry-distinct sites (fractional):
Dy (0.1751, 0.3249, 0.0000) (multiplicity 4)  3 Al 2.82-3.01, 6 Ir 3.01-3.12
Mg (0.0000, 0.0000, 0.0000) (multiplicity 2)  8 Ir 2.77
Al (0.1242, 0.6242, 0.0000) (multiplicity 4)  6 Ir 2.46-2.48
Ir (0.0000, 0.5000, 0.5000) (multiplicity 2)  4 Al 2.46
Ir (0.0654, 0.7924, 0.5000) (multiplicity 8)  2 Al 2.48, 2 Mg 2.77



# 2
Entry from Alexandria: a relaxed structure of UPd15Pb4 (PBE).

Computed properties:
For the spin magnetization, the calculation gives 1.44 μB per formula unit. Its formation energy is -0.346 eV/atom.

Lattice parameters (Å, degrees): 4.1110 4.1110 20.6340 90.00 90.00 90.00
Last column: nearest neighbours and their distance in Å.
Space group P4/mmm (No. 123)
Symmetry-distinct sites (fractional):
U (0.0000, 0.0000, 0.0000) (multiplicity 1)  12 Pd 2.87-2.91
Pd (0.0000, 0.5000, 0.0970) (multiplicity 4)  8 Pd 2.87-2.95, 2 U 2.87, 2 Pb 3.00
Pd (0.0000, 0.5000, 0.3007) (multiplicity 4)  4 Pb 2.88-2.92, 8 Pd 2.90-2.93
Pd (0.0000, 0.5000, 0.5000) (multiplicity 2)  4 Pb 2.90, 8 Pd 2.91-2.92
Pd (0.5000, 0.5000, 0.0000) (multiplicity 1)  8 Pd 2.87, 4 U 2.91
Pd (0.5000, 0.5000, 0.1994) (multiplicity 2)  4 Pb 2.91, 8 Pd 2.93-2.95
Pd (0.5000, 0.5000, 0.3997) (multiplicity 2)  8 Pd 2.90-2.92, 4 Pb 2.91
Pb (0.0000, 0.0000, 0.2030) (multiplicity 2)  12 Pd 2.88-3.00
Pb (0.0000, 0.0000, 0.4011) (multiplicity 2)  12 Pd 2.90-2.92



# 3
Entry from Alexandria: a relaxed structure of CsCeCd2Br8 (PBE).

Computed properties:
For the spin magnetization, the calculation gives 1.00 μB per formula unit. The calculation puts the formation energy from raw total energies at -1.30 eV per atom.

Lattice parameters (Å, degrees): 7.0657 7.2151 10.1528 74.36 76.71 75.16
Last column: nearest neighbours and their distance in Å.
Space group P-1 (No. 2)
Symmetry-distinct sites (fractional):
Cs (0.0000, 0.0000, 0.0000) (multiplicity 1)  6 Br 3.63-3.92
Ce (0.0000, 0.0000, 0.5000) (multiplicity 1)  6 Br 2.90-2.96
Cd (0.4558, 0.4445, 0.2163) (multiplicity 2)  5 Br 2.66-2.91
Br (0.1658, 0.7037, 0.7327) (multiplicity 2)  1 Cd 2.73, 1 Ce 2.96
Br (0.2610, 0.7925, 0.2929) (multiplicity 2)  1 Cd 2.76, 1 Ce 2.93
Br (0.2841, 0.2432, 0.4671) (multiplicity 2)  1 Cd 2.75, 1 Ce 2.90
Br (0.3835, 0.2882, 0.0289) (multiplicity 2)  2 Cd 2.66-2.91



# 4
Entry from Alexandria: a relaxed structure of NbZn5Rh6 (PBE).

Computed properties:
For the spin magnetization, the calculation gives 0.00 μB per formula unit. Its formation energy is -0.484 eV/atom.

Lattice parameters (Å, degrees): 4.3233 12.8894 6.1133 90.00 90.00 90.00
Last column: nearest neighbours and their distance in Å.
Space group Cmmm (No. 65)
Symmetry-distinct sites (fractional):
Nb (0.0000, 0.0000, 0.0000) (multiplicity 2)  8 Rh 2.64-2.66
Zn (0.0000, 0.0000, 0.5000) (multiplicity 2)  8 Rh 2.63-2.64
Zn (0.0000, 0.3324, 0.0000) (multiplicity 4)  8 Rh 2.63-2.66
Zn (0.0000, 0.3336, 0.5000) (multiplicity 4)  8 Rh 2.62-2.64
Rh (0.0000, 0.1667, 0.2513) (multiplicity 8)  7 Zn 2.63-2.65, 1 Nb 2.64
Rh (0.0000, 0.5000, 0.2531) (multiplicity 4)  6 Zn 2.62-2.66, 2 Nb 2.66



# 5
Entry from Alexandria: a relaxed structure of La2SiRu (PBE).

Computed properties:
For the spin magnetization, the calculation gives 0.00 μB per formula unit. The calculation puts the formation energy from raw total energies at -0.31 eV per atom.

Lattice parameters (Å, degrees): 4.7879 4.7879 4.0520 90.00 90.00 90.00
Last column: nearest neighbours and their distance in Å.
Space group P4/mmm (No. 123)
Symmetry-distinct sites (fractional):
La (0.0000, 0.5000, 0.0000) (multiplicity 2)  4 Ru 3.14, 4 Si 3.14, 4 La 3.39
Si (0.0000, 0.0000, 0.5000) (multiplicity 1)  8 La 3.14, 4 Ru 3.39
Ru (0.5000, 0.5000, 0.5000) (multiplicity 1)  8 La 3.14, 4 Si 3.39



# 6
Entry from Alexandria: a relaxed structure of LiSc2Co2 (PBE).

Computed properties:
Its distance to the lowest polymorph of the same formula is 0.523 eV/f.u. For the spin magnetization, the calculation gives 0.00 μB per formula unit. Its formation energy is -0.018 eV/atom.

Lattice parameters (Å, degrees): 7.3985 7.3985 2.9729 90.00 90.00 90.00
Last column: nearest neighbours and their distance in Å.
Space group P4/mbm (No. 127)
Symmetry-distinct sites (fractional):
Li (0.0000, 0.0000, 0.0000) (multiplicity 2)  4 Sc 2.82, 2 Li 2.97
Sc (0.1489, 0.3511, 0.0000) (multiplicity 4)  6 Co 2.63, 2 Li 2.82
Co (0.1439, 0.6439, 0.5000) (multiplicity 4)  6 Sc 2.63